Record 1
# CaGaHg

An optimized crystal structure of CaGaHg (PBE-GGA, Alexandria).

Properties
As for the energy above the most stable polymorph in this dataset: 0.140 eV per atom. Its formation energy from the elements is -346 meV per atom. The calculated total energy is -2.123 eV per atom.

Geometry as extended XYZ:
```
6
Lattice="4.792 0.000 0.000 0.000 4.375 0.000 -1.442 0.000 7.734" Properties=species:S:1:pos:R:3 pbc="T T T"
Ca 0.000 0.000 0.000
Ca 0.872 2.187 3.738
Ga 3.396 0.000 4.432
Ga 3.318 2.187 5.710
Hg 0.930 2.187 7.302
Hg 2.376 0.000 1.955
```

Record 2
# K3RbHg3

An optimized crystal structure of K3RbHg3 (PBE-GGA, Alexandria).

Properties
As for the energy above the most stable polymorph in this dataset: 0.169 eV per atom. Its formation energy from the elements is -12 meV per atom. The calculated total energy is -0.750 eV per atom.

Geometry as extended XYZ:
```
14
Lattice="9.514 0.000 0.000 0.000 9.514 0.000 0.000 0.000 9.514" Properties=species:S:1:pos:R:3 pbc="T T T"
K 0.000 2.378 4.757
K 0.000 7.135 4.757
K 2.378 4.757 0.000
K 4.757 0.000 2.378
K 4.757 0.000 7.135
K 7.135 4.757 0.000
Rb 0.000 0.000 0.000
Rb 4.757 4.757 4.757
Hg 0.000 4.757 2.378
Hg 0.000 4.757 7.135
Hg 2.378 0.000 4.757
Hg 4.757 2.378 0.000
Hg 4.757 7.135 0.000
Hg 7.135 0.000 4.757
```